TeRuCl: relaxed, PBE.

a b c (Å): 3.200 3.200 12.870
angles (deg): 90.00 90.00 90.00
Sites, in units of the cell vectors:
Te1 0.000 0.000 0.000
Te2 0.500 0.500 0.500
Ru1 0.000 0.000 0.385
Ru2 0.500 0.500 0.885
Cl1 0.000 0.000 0.751
Cl2 0.500 0.500 0.251

## Properties
- formation energy from raw total energies (eV/atom) = 0.037

Y2InFeN: relaxed, PBE.

a b c (Å): 4.963 4.963 3.855
angles (deg): 90.00 90.00 90.00
Sites, in units of the cell vectors:
Y1 0.000 0.500 0.000
Y2 0.500 0.000 0.000
In1 0.000 0.000 0.500
Fe1 0.500 0.500 0.500
N1 0.500 0.500 0.000

## Properties
- formation energy from raw total energies (eV/atom) = -0.684

Re2TeAs: relaxed, PBE.

a b c (Å): 3.220 4.010 10.859
angles (deg): 90.00 90.00 90.00
Sites, in units of the cell vectors:
Re1 0.000 0.000 0.000
Re2 0.000 0.500 0.244
Re3 0.500 0.000 0.744
Re4 0.500 0.500 0.500
Te1 0.000 0.500 0.822
Te2 0.500 0.000 0.322
As1 0.000 0.000 0.568
As2 0.500 0.500 0.068

## Properties
- formation energy from raw total energies (eV/atom) = 0.731

NbIrSe2N: relaxed, PBE.

a b c (Å): 5.110 5.110 3.640
angles (deg): 90.00 90.00 90.00
Sites, in units of the cell vectors:
Nb1 0.000 0.000 0.000
Ir1 0.500 0.500 0.500
Se1 0.000 0.500 0.500
Se2 0.500 0.000 0.500
N1 0.500 0.500 0.000

## Properties
- formation energy from raw total energies (eV/atom) = 0.506

PmNd3Ni2: relaxed, PBE.

a b c (Å): 8.541 8.541 11.830
angles (deg): 122.97 122.97 26.96
Sites, in units of the cell vectors:
Pm1 0.156 0.156 0.250
Pm2 0.844 0.844 0.750
Nd1 0.155 0.155 0.749
Nd2 0.418 0.418 0.058
Nd3 0.418 0.418 0.559
Nd4 0.582 0.582 0.441
Nd5 0.582 0.582 0.942
Nd6 0.845 0.845 0.251
Ni1 0.232 0.232 0.049
Ni2 0.233 0.233 0.549
Ni3 0.767 0.767 0.451
Ni4 0.768 0.768 0.951

## Properties
- formation energy from the elements (kJ/mol of atoms) = -20.4

ErPaAgPt: relaxed, PBE.

a b c (Å): 7.104 7.104 7.104
angles (deg): 90.00 90.00 90.00
Sites, in units of the cell vectors:
Er1 0.000 0.000 0.000
Er2 0.000 0.500 0.500
Er3 0.500 0.000 0.500
Er4 0.500 0.500 0.000
Pa1 0.000 0.000 0.500
Pa2 0.000 0.500 0.000
Pa3 0.500 0.000 0.000
Pa4 0.500 0.500 0.500
Ag1 0.250 0.250 0.250
Ag2 0.250 0.750 0.750
Ag3 0.750 0.250 0.750
Ag4 0.750 0.750 0.250
Pt1 0.250 0.250 0.750
Pt2 0.250 0.750 0.250
Pt3 0.750 0.250 0.250
Pt4 0.750 0.750 0.750

## Properties
- formation energy from the elements (kJ/mol of atoms) = -41.6